Below is an optimized crystal structure of InCoRe2, with properties calculated at the PBE level.

Geometry as extended XYZ:
```
4
Lattice="4.718 0.003 0.003 3.851 2.725 0.003 0.899 0.286 4.817" Properties=species:S:1:pos:R:3 pbc="T T T"
Co 4.641 1.477 2.435
Re 0.928 0.295 4.560
Re 7.201 2.292 3.713
In 2.332 0.742 1.343
```

Computed properties:
The density of states at the Fermi level is 3.2 states/eV/f.u. As for the calculated density: 14.66 g/cm3. Its formation enthalpy at 0 K is 1.672 eV/f.u. As for the space group: Cm (8). The value obtained for the volume is 61.9 Å³ per cell.

=====

Below is an optimized crystal structure of LiCoNiAs2, with properties calculated at the PBE level.

Geometry as extended XYZ:
```
5
Lattice="-1.140 0.206 -3.707 1.770 -3.379 -0.732 -4.579 -0.901 3.392" Properties=species:S:1:pos:R:3 pbc="T T T"
As -0.744 -2.204 -1.928
As -3.205 -1.870 0.881
Co -2.702 -1.141 -1.267
Li 0.000 0.000 0.000
Ni -1.247 -2.933 0.220
```

Computed properties:
The density of states at the Fermi level is 3.4 states/eV/f.u. As for the calculated density: 5.95 g/cm3. Its formation enthalpy at 0 K is -1.765 eV/f.u. As for the space group: I-4m2 (119). The value obtained for the volume is 76.5 Å³ per cell.

=====

Below is an optimized crystal structure of Ce2MgS, with properties calculated at the PBE level.

Geometry as extended XYZ:
```
4
Lattice="-2.510 2.551 0.640 -2.573 -0.570 2.504 4.462 4.888 8.335" Properties=species:S:1:pos:R:3 pbc="T T T"
S -0.310 3.434 5.740
Ce 2.428 3.491 5.928
Ce -3.049 3.378 5.552
Mg 0.000 0.000 0.000
```

Computed properties:
The density of states at the Fermi level is 10.4 states/eV/f.u. As for the calculated density: 4.68 g/cm3. As for the energy: -19.954 eV for the cell shown. As for the space group: R-3m (166). The value obtained for the volume is 119.4 Å³ per cell.

=====

Below is an optimized crystal structure of DyU2TcC4, with properties calculated at the PBE level.

Geometry as extended XYZ:
```
16
Lattice="3.537 0.000 0.000 -1.768 5.842 0.000 0.000 0.000 11.335" Properties=species:S:1:pos:R:3 pbc="T T T"
C 0.000 3.086 4.316
C 1.768 2.756 9.983
C 0.000 0.000 5.667
C 0.000 3.086 1.352
C 0.000 0.000 0.000
C 1.768 0.536 2.834
C 1.768 2.756 7.019
C 0.000 5.306 8.501
Tc 1.768 4.159 8.501
Tc 0.000 1.682 2.834
Dy 1.768 4.465 2.834
Dy 0.000 1.377 8.501
U 1.768 1.514 0.545
U 1.768 1.514 5.123
U 0.000 4.328 10.790
U 0.000 4.328 6.212
```

Computed properties:
The density of states at the Fermi level is 6.2 states/eV/f.u. As for the calculated density: 11.13 g/cm3. Its formation enthalpy at 0 K is -0.407 eV/f.u. As for the space group: Cmcm (63). The value obtained for the volume is 234.2 Å³ per cell.